[1]
DFT (PBE-GGA) results for a relaxed La3ZnBr crystal.

Cell lengths 5.6357, 5.6357, 5.6357 Å; angles 90.00, 90.00, 90.00 degrees
Closest atoms and distances in Å follow each position.
Positions (direct):
La  0.0000  0.0000  0.5000  2 Br 2.82
La  0.0000  0.5000  0.0000  2 Br 2.82
La  0.5000  0.0000  0.0000  2 Br 2.82
Zn  0.5000  0.5000  0.5000  12 La 3.99
Br  0.0000  0.0000  0.0000  6 La 2.82

Properties
uncorrected energy	-18.74	eV per cell
space group	Pm-3m, No. 221
raw formation energy	-0.20	eV/atom

[2]
DFT (PBE-GGA) results for a relaxed KOs crystal.

Cell lengths 4.7786, 10.1370, 10.6401 Å; angles 90.00, 90.00, 90.00 degrees
Closest atoms and distances in Å follow each position.
Positions (direct):
K  0.0114  0.1154  0.3685  2 K 3.34-3.64, 4 Os 3.46-3.70
K  0.0746  0.1151  0.7431  5 Os 3.31-3.67, 2 K 3.34-3.64
K  0.4254  0.8849  0.2431  5 Os 3.31-3.67, 2 K 3.34-3.64
K  0.4886  0.8846  0.8685  2 K 3.34-3.64, 4 Os 3.46-3.70
K  0.5114  0.3846  0.6315  2 K 3.34-3.64, 4 Os 3.46-3.70
K  0.5746  0.3849  0.2569  5 Os 3.31-3.67, 2 K 3.34-3.64
K  0.9254  0.6151  0.7569  5 Os 3.31-3.67, 2 K 3.34-3.64
K  0.9886  0.6154  0.1315  2 K 3.34-3.64, 4 Os 3.46-3.70
Os  0.1774  0.6240  0.4547  3 Os 2.36-2.44
Os  0.1783  0.8320  0.5543  3 Os 2.36-2.44
Os  0.3217  0.1680  0.0543  3 Os 2.36-2.44
Os  0.3226  0.3760  0.9547  3 Os 2.36-2.44
Os  0.6774  0.8760  0.5453  3 Os 2.36-2.44
Os  0.6783  0.6680  0.4457  3 Os 2.36-2.44
Os  0.8217  0.3320  0.9457  3 Os 2.36-2.44
Os  0.8226  0.1240  0.0453  3 Os 2.36-2.44

Properties
formation enthalpy at 0 K	922	meV per atom
uncorrected energy	-83.87	eV per cell
space group	P2_12_12_1, No. 19

What did we get for energy above the lowest structure with this stoichiometry? Answer: 0.0; 223.6 meV/atom, in the order shown.
What did we get for DOS(E_F)? Answer: 1.40; 0.68 states/eV/atom, in the order shown.